DFT (PBE) results for a relaxed structure of CeNdLuPa.

Results
- ΔH_f (0 K) (eV/atom) = 0.39

Cell: 5.532 5.532 5.532 Å, 60.00 60.00 60.00°
Element x y z (fractional)
Ce 0.000 0.000 0.000
Nd 0.500 0.500 0.500
Lu 0.250 0.250 0.250
Pa 0.750 0.750 0.750

DFT (PBE) results for a relaxed structure of Al3Pd5.

Results
- ΔH_f (0 K) (eV/atom) = -0.84

Cell: 5.433 10.647 4.060 Å, 90.00 90.00 90.00°
Element x y z (fractional)
Al 0.000 0.000 0.000
Al 0.163 0.357 0.500
Al 0.337 0.857 0.500
Al 0.500 0.500 0.000
Al 0.663 0.143 0.500
Al 0.837 0.643 0.500
Pd 0.000 0.500 0.000
Pd 0.094 0.768 0.000
Pd 0.188 0.106 0.500
Pd 0.312 0.606 0.500
Pd 0.406 0.268 0.000
Pd 0.500 0.000 0.000
Pd 0.594 0.732 0.000
Pd 0.688 0.394 0.500
Pd 0.812 0.894 0.500
Pd 0.906 0.232 0.000

DFT (PBE) results for a relaxed structure of TbPr2HoTl2.

Results
- ΔH_f (0 K) (eV/atom) = -0.27

Cell: 5.170 10.263 6.915 Å, 90.00 90.00 90.00°
Element x y z (fractional)
Tb 0.000 0.042 0.000
Tb 0.000 0.958 0.500
Pr 0.000 0.313 0.368
Pr 0.000 0.687 0.868
Pr 0.500 0.456 0.100
Pr 0.500 0.544 0.600
Ho 0.500 0.184 0.718
Ho 0.500 0.816 0.218
Tl 0.000 0.353 0.839
Tl 0.000 0.647 0.339
Tl 0.500 0.123 0.257
Tl 0.500 0.877 0.757

DFT (PBE) results for a relaxed structure of MgScHg2.

Results
- ΔH_f (0 K) (eV/atom) = -0.17

Cell: 3.333 3.333 8.075 Å, 90.00 90.00 90.00°
Element x y z (fractional)
Mg 0.000 0.000 0.000
Sc 0.500 0.500 0.278
Hg 0.000 0.000 0.509
Hg 0.500 0.500 0.777

DFT (PBE) results for a relaxed structure of Li2TiGaH.

Results
- total energy (eV per atom) = -3.892

Cell: 3.796 3.796 4.311 Å, 90.00 90.00 90.00°
Element x y z (fractional)
Li 0.000 0.500 0.000
Li 0.500 0.000 0.000
Ti 0.000 0.000 0.500
Ga 0.500 0.500 0.500
H 0.000 0.000 0.000

DFT (PBE) results for a relaxed structure of NbAs2W.

Results
- ΔH_f (0 K) (eV/atom) = 0.37
- polymorph energy (0 for the lowest one) (meV/atom) = 420

Cell: 9.541 9.541 9.541 Å, 155.92 155.92 34.31°
Element x y z (fractional)
Nb 0.000 0.000 0.000
Nb 0.750 0.250 0.500
As 0.134 0.625 0.009
As 0.375 0.384 0.509
As 0.616 0.125 0.991
As 0.875 0.866 0.491
W 0.250 0.750 0.500
W 0.500 0.500 0.000

DFT (PBE) results for a relaxed structure of Dy2HgAs.

Results
- ΔH_f (0 K) (eV/atom) = -0.88
- polymorph energy (0 for the lowest one) (meV/atom) = 46

Cell: 8.063 8.063 8.063 Å, 28.69 28.69 28.69°
Element x y z (fractional)
Dy 0.000 0.000 0.000
Dy 0.189 0.189 0.189
Hg 0.762 0.762 0.762
As 0.594 0.594 0.594

DFT (PBE) results for a relaxed structure of YEr2Ru.

Results
- ΔH_f (0 K) (eV/atom) = -0.34
- polymorph energy (0 for the lowest one) (meV/atom) = 0

Cell: 7.316 9.069 6.272 Å, 90.00 90.00 90.00°
Element x y z (fractional)
Y 0.039 0.250 0.129
Y 0.461 0.750 0.629
Y 0.539 0.250 0.371
Y 0.961 0.750 0.871
Er 0.176 0.064 0.666
Er 0.176 0.436 0.666
Er 0.324 0.564 0.166
Er 0.324 0.936 0.166
Er 0.676 0.064 0.834
Er 0.676 0.436 0.834
Er 0.824 0.564 0.334
Er 0.824 0.936 0.334
Ru 0.115 0.750 0.455
Ru 0.385 0.250 0.955
Ru 0.615 0.750 0.045
Ru 0.885 0.250 0.545

| no. | M_tot (μB/atom) |
| --- | --- |
| 1 | 0.93 |
| 2 | 0.00 |
| 3 | 0.00 |
| 4 | 0.09 |
| 5 | 0.00 |
| 6 | 0.00 |
| 7 | 0.00 |
| 8 | 0.00 |